Dy2ScGa2Pd5: optimized geometry, PBE.

a b c (Å): 9.9533 9.9533 3.7368
angles (deg): 90.00 90.00 90.00
Closest atoms and distances in Å follow each position.
Positions (direct):
Dy (0.1740, 0.3260, 0.0000)  3 Ga 2.84-3.01, 2 Pd 3.08
Dy (0.3260, 0.8260, 0.0000)  3 Ga 2.84-3.01, 2 Pd 3.08
Dy (0.6740, 0.1740, 0.0000)  3 Ga 2.84-3.01, 2 Pd 3.08
Dy (0.8260, 0.6740, 0.0000)  3 Ga 2.84-3.01, 2 Pd 3.08
Sc (0.0000, 0.0000, 0.0000)  8 Pd 2.85
Sc (0.5000, 0.5000, 0.0000)  8 Pd 2.85
Ga (0.1244, 0.6244, 0.0000)  6 Pd 2.56-2.59, 1 Dy 2.84
Ga (0.3756, 0.1244, 0.0000)  6 Pd 2.56-2.59, 1 Dy 2.84
Ga (0.6244, 0.8756, 0.0000)  6 Pd 2.56-2.59, 1 Dy 2.84
Ga (0.8756, 0.3756, 0.0000)  6 Pd 2.56-2.59, 1 Dy 2.84
Pd (0.0000, 0.5000, 0.5000)  4 Ga 2.56
Pd (0.0626, 0.7933, 0.5000)  2 Ga 2.59, 2 Sc 2.85
Pd (0.2067, 0.0626, 0.5000)  2 Ga 2.59, 2 Sc 2.85
Pd (0.2933, 0.5626, 0.5000)  2 Ga 2.59, 2 Sc 2.85
Pd (0.4374, 0.2933, 0.5000)  2 Ga 2.59, 2 Sc 2.85
Pd (0.5000, 0.0000, 0.5000)  4 Ga 2.56
Pd (0.5626, 0.7067, 0.5000)  2 Ga 2.59, 2 Sc 2.85
Pd (0.7067, 0.4374, 0.5000)  2 Ga 2.59, 2 Sc 2.85
Pd (0.7933, 0.9374, 0.5000)  2 Ga 2.59, 2 Sc 2.85
Pd (0.9374, 0.2067, 0.5000)  2 Ga 2.59, 2 Sc 2.85

Calculated values
- Energy of formation from the pure elements: -806 kJ/mol of formula units
- Calculated total energy: -111.81 eV per cell